1.
{
  "formula": "ReF4",
  "functional": "PBE-GGA",
  "state": "optimized geometry",
  "lattice": [[3.944, 0.000, 0.000], [0.000, 3.944, 0.000], [0.000, 0.000, 3.944]],
  "species": ["F", "F", "Re", "F", "F"],
  "frac_coords": [[0.500, 0.000, 0.500], [0.000, 0.000, 0.000], [0.500, 0.500, 0.500], [0.500, 0.500, 0.000], [0.000, 0.500, 0.500]],
  "total_magnetization_mub_per_cell": 1.84,
  "raw_formation_energy_ev_per_atom": -1.30,
  "relative_energy_ev_per_atom": 0.527
}

2.
{
  "formula": "Tb2PrSi4",
  "functional": "PBE-GGA",
  "state": "optimized geometry",
  "lattice": [[3.811, 0.000, -0.869], [-0.225, 4.224, -0.987], [0.114, -0.056, 9.294]],
  "species": ["Si", "Si", "Tb", "Tb", "Si", "Si", "Pr"],
  "frac_coords": [[0.933, 0.433, 0.865], [0.650, 0.650, 0.300], [0.817, 0.817, 0.634], [0.183, 0.183, 0.366], [0.067, 0.567, 0.135], [0.350, 0.350, 0.700], [0.500, 0.000, 0.000]],
  "total_magnetization_mub_per_cell": 0.00,
  "raw_formation_energy_ev_per_atom": -0.76
}

3.
{
  "formula": "TbThTlCu",
  "functional": "PBE-GGA",
  "state": "optimized geometry",
  "lattice": [[5.278, 0.000, 0.000], [2.639, 4.571, 0.000], [2.639, 1.524, 4.309]],
  "species": ["Tl", "Tb", "Cu", "Th"],
  "frac_coords": [[0.750, 0.750, 0.750], [0.000, 0.000, 0.000], [0.250, 0.250, 0.250], [0.500, 0.500, 0.500]],
  "total_magnetization_mub_per_cell": 0.75,
  "ef_ev_per_atom": -0.0925
}

4.
{
  "formula": "Hf3ZrCd",
  "functional": "PBE-GGA",
  "state": "optimized geometry",
  "lattice": [[3.202, 0.000, 0.000], [0.000, 7.344, -2.678], [0.000, 0.992, 9.172]],
  "species": ["Hf", "Cd", "Zr", "Hf", "Hf", "Hf", "Hf", "Zr", "Cd", "Hf"],
  "frac_coords": [[0.250, 0.461, 0.354], [0.250, 0.640, 0.951], [0.750, 0.158, 0.458], [0.750, 0.539, 0.646], [0.750, 0.936, 0.851], [0.250, 0.229, 0.754], [0.750, 0.771, 0.246], [0.250, 0.842, 0.542], [0.750, 0.360, 0.049], [0.250, 0.064, 0.149]],
  "total_magnetization_mub_per_cell": 0.00,
  "ef_ev_per_atom": 0.0355,
  "relative_energy_ev_per_atom": 0.000
}

5.
{
  "formula": "Li4Zn5Cu2",
  "functional": "PBE-GGA",
  "state": "optimized geometry",
  "lattice": [[-0.433, -4.245, 2.682], [4.144, -2.764, 0.766], [3.132, 0.328, 7.732]],
  "species": ["Zn", "Li", "Zn", "Li", "Li", "Cu", "Cu", "Li", "Zn", "Zn", "Zn"],
  "frac_coords": [[0.770, 0.280, 0.222], [0.688, 0.688, 0.439], [0.280, 0.770, 0.222], [0.320, 0.320, 0.126], [0.312, 0.312, 0.561], [0.166, 0.166, 0.915], [0.834, 0.834, 0.085], [0.680, 0.680, 0.874], [0.720, 0.230, 0.778], [0.000, 0.000, 0.500], [0.230, 0.720, 0.778]],
  "total_magnetization_mub_per_cell": 0.00,
  "ef_ev_per_atom": -0.1337
}

6.
{
  "formula": "Cs2Pb2Au",
  "functional": "PBE-GGA",
  "state": "optimized geometry",
  "lattice": [[-2.390, 1.818, 5.818], [3.605, -5.729, 3.271], [6.413, 4.701, 1.165]],
  "species": ["Au", "Au", "Pb", "Cs", "Cs", "Pb", "Pb", "Cs", "Cs", "Pb"],
  "frac_coords": [[0.000, 0.500, 0.500], [0.000, 0.000, 0.000], [0.000, 0.365, 0.851], [0.500, 0.744, 0.884], [0.500, 0.256, 0.116], [0.000, 0.135, 0.351], [0.000, 0.865, 0.649], [0.500, 0.756, 0.384], [0.500, 0.244, 0.616], [0.000, 0.635, 0.149]],
  "total_magnetization_mub_per_cell": 0.00,
  "ef_ev_per_atom": -0.0719,
  "relative_energy_ev_per_atom": 0.097
}

no.,N(E_F) (states/eV/atom)
1,1.5868
2,0.5025
3,1.0844
4,1.1475
5,0.3893
6,1.0054